Entry 1:
Crystalline RbNa3O at its relaxed geometry. Source: the Alexandria database, functional PBEsol.

a b c (Å): 5.1147 5.1147 5.1147
angles (deg): 90.00 90.00 90.00
Space group Pm-3m (No. 221)
One atom of each set of equivalent atoms:
Rb (0.0000, 0.0000, 0.0000) (multiplicity 1)
Na (0.0000, 0.5000, 0.5000) (multiplicity 3)
O (0.5000, 0.5000, 0.5000) (multiplicity 1)

Properties
For the formation energy without anion corrections, the calculation gives -412 meV per atom. The size of the total moment is 0.00 μB per formula unit. Its crystal system is cubic. For the total energy, the calculation gives -12.54 eV per cell.


Entry 2:
Crystalline BP2O at its relaxed geometry. Source: the Alexandria database, functional PBEsol.

a b c (Å): 4.8084 4.8084 8.5734
angles (deg): 90.00 90.00 90.00
Space group I-42d (No. 122)
One atom of each set of equivalent atoms:
B (0.0000, 0.0000, 0.0000) (multiplicity 4)
P (0.2188, 0.2500, 0.1250) (multiplicity 8)
O (0.0000, 0.0000, 0.5000) (multiplicity 4)

Properties
For the formation energy without anion corrections, the calculation gives 162 meV per atom. The size of the total moment is 0.00 μB per formula unit. Its crystal system is tetragonal. For the total energy, the calculation gives -92.81 eV per cell.


Entry 3:
Crystalline Ba2BeCl at its relaxed geometry. Source: the Alexandria database, functional PBEsol.

a b c (Å): 4.4969 4.4969 23.8946
angles (deg): 90.00 90.00 120.00
Space group R-3m (No. 166, hexagonal axes)
One atom of each set of equivalent atoms:
Ba (0.0000, 0.0000, 0.2486) (multiplicity 6)
Be (0.0000, 0.0000, 0.5000) (multiplicity 3)
Cl (0.0000, 0.0000, 0.0000) (multiplicity 3)

Properties
For the formation energy without anion corrections, the calculation gives -549 meV per atom. The size of the total moment is 0.79 μB per formula unit. Its crystal system is trigonal. For the total energy, the calculation gives -37.51 eV per cell.


Entry 4:
Crystalline InTe2NF at its relaxed geometry. Source: the Alexandria database, functional PBEsol.

a b c (Å): 4.7412 4.7412 5.0089
angles (deg): 90.00 90.00 90.00
Space group P4/mmm (No. 123)
One atom of each set of equivalent atoms:
In (0.0000, 0.0000, 0.0000) (multiplicity 1)
Te (0.0000, 0.5000, 0.5000) (multiplicity 2)
N (0.5000, 0.5000, 0.0000) (multiplicity 1)
F (0.5000, 0.5000, 0.5000) (multiplicity 1)

Properties
For the formation energy without anion corrections, the calculation gives 728 meV per atom. The size of the total moment is 2.65 μB per formula unit. Its crystal system is tetragonal. For the total energy, the calculation gives -16.85 eV per cell.


Entry 5:
Crystalline Sc3Be at its relaxed geometry. Source: the Alexandria database, functional PBEsol.

a b c (Å): 6.1394 8.7229 5.9059
angles (deg): 90.00 90.00 90.00
Space group Pnma (No. 62)
One atom of each set of equivalent atoms:
Sc (0.0107, 0.2500, 0.1089) (multiplicity 4)
Sc (0.1977, 0.0494, 0.6937) (multiplicity 8)
Be (0.0728, 0.7500, 0.4647) (multiplicity 4)

Properties
The value obtained for the formation energy is 0.04 eV/atom. The size of the total moment is 0.00 μB per formula unit. Its crystal system is orthorhombic. For the total energy, the calculation gives -94.70 eV per cell.


Entry 6:
Crystalline Re2SiTe at its relaxed geometry. Source: the Alexandria database, functional PBEsol.

a b c (Å): 8.0597 3.0465 5.4250
angles (deg): 90.00 103.17 90.00
Space group C2/m (No. 12)
One atom of each set of equivalent atoms:
Re (0.2391, 0.0000, 0.2000) (multiplicity 4)
Si (0.0000, 0.5000, 0.0000) (multiplicity 2)
Te (0.0000, 0.0000, 0.5000) (multiplicity 2)

Properties
For the formation energy without anion corrections, the calculation gives 376 meV per atom. The size of the total moment is 0.00 μB per formula unit. Its crystal system is monoclinic. For the total energy, the calculation gives -68.87 eV per cell.